Entry 1:
DFT (PBE-GGA) results for a relaxed DyHgPb6 crystal.

Results
* M_tot: 0.000 μB/cell
* calculated volume: 237.5 Å³/cell
* ΔE_f: -0.09 eV/atom
* space-group type: No. 123

```
data_DyHgPb6
_chemical_formula_sum 'Dy1 Hg1 Pb6'
_cell_length_a 5.201
_cell_length_b 6.757
_cell_length_c 6.757
_cell_angle_alpha 90.00
_cell_angle_beta 90.00
_cell_angle_gamma 90.00
_symmetry_space_group_name_H-M 'P 1'
_symmetry_Int_Tables_number 1
loop_
_symmetry_equiv_pos_as_xyz
'x,y,z'
loop_
_atom_site_label
_atom_site_type_symbol
_atom_site_fract_x
_atom_site_fract_y
_atom_site_fract_z
_atom_site_occupancy
Dy1 Dy 0.500 0.000 0.000 1
Pb1 Pb 0.000 0.251 0.749 1
Pb2 Pb 0.000 0.749 0.251 1
Pb3 Pb 0.500 0.500 0.000 1
Pb4 Pb 0.000 0.251 0.251 1
Pb5 Pb 0.500 0.000 0.500 1
Pb6 Pb 0.000 0.749 0.749 1
Hg1 Hg 0.500 0.500 0.500 1
```

Entry 2:
DFT (PBE-GGA) results for a relaxed Dy2Hg6Pb crystal.

Results
* M_tot: 0.000 μB/cell
* calculated volume: 225.9 Å³/cell
* ΔE_f: -0.23 eV/atom
* space-group type: No. 12

```
data_Dy2Hg6Pb
_chemical_formula_sum 'Dy2 Hg6 Pb1'
_cell_length_a 3.412
_cell_length_b 8.745
_cell_length_c 8.743
_cell_angle_alpha 120.01
_cell_angle_beta 89.87
_cell_angle_gamma 90.00
_symmetry_space_group_name_H-M 'P 1'
_symmetry_Int_Tables_number 1
loop_
_symmetry_equiv_pos_as_xyz
'x,y,z'
loop_
_atom_site_label
_atom_site_type_symbol
_atom_site_fract_x
_atom_site_fract_y
_atom_site_fract_z
_atom_site_occupancy
Hg1 Hg 0.500 0.335 0.000 1
Hg2 Hg 0.499 0.000 0.335 1
Hg3 Hg 0.501 0.665 0.665 1
Hg4 Hg 0.500 0.665 0.000 1
Hg5 Hg 0.499 0.335 0.335 1
Hg6 Hg 0.501 0.000 0.665 1
Pb1 Pb 0.000 0.000 0.000 1
Dy1 Dy 0.000 0.667 0.334 1
Dy2 Dy 0.000 0.333 0.666 1
```

Entry 3:
DFT (PBE-GGA) results for a relaxed Dy2Hg2Pb crystal.

Results
* M_tot: 0.000 μB/cell
* calculated volume: 269.0 Å³/cell
* ΔE_f: -0.40 eV/atom
* space-group type: No. 127

```
data_Dy2Hg2Pb
_chemical_formula_sum 'Dy4 Hg4 Pb2'
_cell_length_a 4.021
_cell_length_b 8.180
_cell_length_c 8.180
_cell_angle_alpha 90.00
_cell_angle_beta 90.00
_cell_angle_gamma 90.00
_symmetry_space_group_name_H-M 'P 1'
_symmetry_Int_Tables_number 1
loop_
_symmetry_equiv_pos_as_xyz
'x,y,z'
loop_
_atom_site_label
_atom_site_type_symbol
_atom_site_fract_x
_atom_site_fract_y
_atom_site_fract_z
_atom_site_occupancy
Dy1 Dy 0.500 0.331 0.169 1
Dy2 Dy 0.500 0.169 0.669 1
Dy3 Dy 0.500 0.669 0.831 1
Dy4 Dy 0.500 0.831 0.331 1
Hg1 Hg 0.000 0.871 0.629 1
Hg2 Hg 0.000 0.629 0.129 1
Hg3 Hg 0.000 0.129 0.371 1
Hg4 Hg 0.000 0.371 0.871 1
Pb1 Pb 0.000 0.500 0.500 1
Pb2 Pb 0.000 0.000 0.000 1
```

Entry 4:
DFT (PBE-GGA) results for a relaxed Dy3Hg2Pb2 crystal.

Results
* M_tot: 0.000 μB/cell
* calculated volume: 193.4 Å³/cell
* ΔE_f: -0.41 eV/atom
* space-group type: No. 12

```
data_Dy3Hg2Pb2
_chemical_formula_sum 'Dy3 Hg2 Pb2'
_cell_length_a 6.283
_cell_length_b 6.283
_cell_length_c 7.386
_cell_angle_alpha 75.65
_cell_angle_beta 75.65
_cell_angle_gamma 43.48
_symmetry_space_group_name_H-M 'P 1'
_symmetry_Int_Tables_number 1
loop_
_symmetry_equiv_pos_as_xyz
'x,y,z'
loop_
_atom_site_label
_atom_site_type_symbol
_atom_site_fract_x
_atom_site_fract_y
_atom_site_fract_z
_atom_site_occupancy
Dy1 Dy 0.345 0.345 0.636 1
Dy2 Dy 0.500 0.500 0.000 1
Dy3 Dy 0.655 0.655 0.364 1
Hg1 Hg 0.824 0.824 0.955 1
Hg2 Hg 0.176 0.176 0.045 1
Pb1 Pb 0.931 0.931 0.330 1
Pb2 Pb 0.069 0.069 0.670 1
```

Entry 5:
DFT (PBE-GGA) results for a relaxed DyHgPb crystal.

Results
* M_tot: 0.000 μB/cell
* calculated volume: 322.8 Å³/cell
* ΔE_f: -0.37 eV/atom
* space-group type: No. 62

```
data_DyHgPb
_chemical_formula_sum 'Dy4 Hg4 Pb4'
_cell_length_a 4.712
_cell_length_b 4.386
_cell_length_c 15.622
_cell_angle_alpha 90.00
_cell_angle_beta 90.00
_cell_angle_gamma 90.00
_symmetry_space_group_name_H-M 'P 1'
_symmetry_Int_Tables_number 1
loop_
_symmetry_equiv_pos_as_xyz
'x,y,z'
loop_
_atom_site_label
_atom_site_type_symbol
_atom_site_fract_x
_atom_site_fract_y
_atom_site_fract_z
_atom_site_occupancy
Pb1 Pb 0.501 0.750 0.922 1
Pb2 Pb 0.999 0.750 0.422 1
Pb3 Pb 0.001 0.250 0.578 1
Pb4 Pb 0.499 0.250 0.078 1
Dy1 Dy 0.499 0.250 0.400 1
Dy2 Dy 0.999 0.750 0.100 1
Dy3 Dy 0.501 0.750 0.600 1
Dy4 Dy 0.001 0.250 0.900 1
Hg1 Hg 0.499 0.750 0.244 1
Hg2 Hg 0.001 0.750 0.744 1
Hg3 Hg 0.999 0.250 0.256 1
Hg4 Hg 0.501 0.250 0.756 1
```

Entry 6:
DFT (PBE-GGA) results for a relaxed DyHg2Pb crystal.

Results
* M_tot: 0.143 μB/cell
* calculated volume: 106.1 Å³/cell
* ΔE_f: -0.28 eV/atom
* space-group type: No. 123

```
data_DyHg2Pb
_chemical_formula_sum 'Dy1 Hg2 Pb1'
_cell_length_a 3.711
_cell_length_b 3.711
_cell_length_c 7.707
_cell_angle_alpha 90.00
_cell_angle_beta 90.00
_cell_angle_gamma 90.00
_symmetry_space_group_name_H-M 'P 1'
_symmetry_Int_Tables_number 1
loop_
_symmetry_equiv_pos_as_xyz
'x,y,z'
loop_
_atom_site_label
_atom_site_type_symbol
_atom_site_fract_x
_atom_site_fract_y
_atom_site_fract_z
_atom_site_occupancy
Dy1 Dy 0.500 0.500 0.000 1
Hg1 Hg 0.000 0.000 0.236 1
Hg2 Hg 0.000 0.000 0.764 1
Pb1 Pb 0.500 0.500 0.500 1
```

Entry 7:
DFT (PBE-GGA) results for a relaxed Dy3Hg3Pb2 crystal.

Results
* M_tot: 0.000 μB/cell
* calculated volume: 222.6 Å³/cell
* ΔE_f: -0.31 eV/atom
* space-group type: No. 155

```
data_Dy3Hg3Pb2
_chemical_formula_sum 'Dy3 Hg3 Pb2'
_cell_length_a 6.061
_cell_length_b 6.061
_cell_length_c 6.061
_cell_angle_alpha 90.58
_cell_angle_beta 90.58
_cell_angle_gamma 89.42
_symmetry_space_group_name_H-M 'P 1'
_symmetry_Int_Tables_number 1
loop_
_symmetry_equiv_pos_as_xyz
'x,y,z'
loop_
_atom_site_label
_atom_site_type_symbol
_atom_site_fract_x
_atom_site_fract_y
_atom_site_fract_z
_atom_site_occupancy
Hg1 Hg 0.500 0.226 0.226 1
Hg2 Hg 0.226 0.774 0.500 1
Hg3 Hg 0.774 0.500 0.774 1
Dy1 Dy 0.662 0.000 0.662 1
Dy2 Dy 0.338 0.662 0.000 1
Dy3 Dy 0.000 0.338 0.338 1
Pb1 Pb 0.837 0.837 0.163 1
Pb2 Pb 0.163 0.163 0.837 1
```

Entry 8:
DFT (PBE-GGA) results for a relaxed DyHgPb crystal.

Results
* M_tot: 0.000 μB/cell
* calculated volume: 81.2 Å³/cell
* ΔE_f: -0.34 eV/atom
* space-group type: No. 156

```
data_DyHgPb
_chemical_formula_sum 'Dy1 Hg1 Pb1'
_cell_length_a 3.756
_cell_length_b 4.998
_cell_length_c 4.998
_cell_angle_alpha 120.00
_cell_angle_beta 90.00
_cell_angle_gamma 90.00
_symmetry_space_group_name_H-M 'P 1'
_symmetry_Int_Tables_number 1
loop_
_symmetry_equiv_pos_as_xyz
'x,y,z'
loop_
_atom_site_label
_atom_site_type_symbol
_atom_site_fract_x
_atom_site_fract_y
_atom_site_fract_z
_atom_site_occupancy
Hg1 Hg 0.334 0.333 0.667 1
Dy1 Dy 0.628 0.667 0.333 1
Pb1 Pb 0.037 0.000 0.000 1
```

Question: Number 7 is which compound?
Answer: Dy3Hg3Pb2

Question: Which of these has the lowest calculated volume?
Answer: number 8

Question: Which formula does entry 7 have?
Answer: Dy3Hg3Pb2

Question: What is the calculated volume in the second record?
Answer: 225.9 Å³/cell